The following is a DFT calculation (PBE-GGA) of an optimized crystal structure of CeMg4Pb2.

Cell lengths 8.8423, 8.8423, 4.6974 Å; angles 90.00, 90.00, 90.00 degrees
Element x y z (fractional)
Ce 0.0000 0.0000 0.0000
Ce 0.5000 0.5000 0.5000
Mg 0.0984 0.3549 0.5000
Mg 0.1451 0.5984 0.0000
Mg 0.3549 0.0984 0.5000
Mg 0.4016 0.8549 0.0000
Mg 0.5984 0.1451 0.0000
Mg 0.6451 0.9016 0.5000
Mg 0.8549 0.4016 0.0000
Mg 0.9016 0.6451 0.5000
Pb 0.1994 0.8006 0.5000
Pb 0.3006 0.3006 0.0000
Pb 0.6994 0.6994 0.0000
Pb 0.8006 0.1994 0.5000

- Space group: No. 136
- ΔE to the lowest computed polymorph: 0 meV/atom
- Energy: -2.97 eV per atom
- D(E_F): 18.60 states/eV/cell

***

The following is a DFT calculation (PBE-GGA) of an optimized crystal structure of YAsRu2.

Cell lengths 4.3908, 4.3908, 3.4437 Å; angles 90.00, 90.00, 90.00 degrees
Element x y z (fractional)
Y 0.0000 0.0000 0.0000
As 0.5000 0.5000 0.0000
Ru 0.0000 0.5000 0.5000
Ru 0.5000 0.0000 0.5000

- Space group: No. 123
- Energy: -7.67 eV per atom
- D(E_F): 2.64 states/eV/cell